{"formula": "Ti2NbGaAg", "functional": "PBEsol", "state": "optimized geometry", "ef_ev_per_atom": 0.895, "lattice_angstrom": [[4.645, 0.000, 0.000], [0.000, 4.645, 0.000], [0.000, 0.000, 4.983]], "species": ["Ti", "Ti", "Nb", "Ga", "Ag"], "frac_coords": [[0.000, 0.500, 0.000], [0.500, 0.000, 0.000], [0.000, 0.000, 0.000], [0.000, 0.000, 0.500], [0.500, 0.500, 0.500]]}

***

{"formula": "CrCu2Cl", "functional": "PBEsol", "state": "optimized geometry", "polymorph_energy_mev_per_atom": 0.0, "e_form_raw_kj_per_mol_atoms": 20.6, "lattice_angstrom": [[3.110, 0.000, 0.000], [0.000, 2.953, 0.000], [-0.083, 0.000, 6.506]], "species": ["Cr", "Cu", "Cu", "Cl"], "frac_coords": [[0.000, 0.000, 0.000], [0.494, 0.500, 0.790], [0.989, 0.000, 0.603], [0.021, 0.500, 0.277]]}

***

{"formula": "Sr3PtSe", "functional": "PBEsol", "state": "optimized geometry", "e_form_raw_kj_per_mol_atoms": -63.8, "lattice_angstrom": [[5.692, 0.000, 0.000], [0.000, 5.692, 0.000], [0.000, 0.000, 5.692]], "species": ["Sr", "Sr", "Sr", "Pt", "Se"], "frac_coords": [[0.000, 0.000, 0.500], [0.000, 0.500, 0.000], [0.500, 0.000, 0.000], [0.000, 0.000, 0.000], [0.500, 0.500, 0.500]]}

***

{"formula": "ScTlC2", "functional": "PBEsol", "state": "optimized geometry", "ef_ev_per_atom": 1.255, "lattice_angstrom": [[4.657, 0.000, 0.000], [0.000, 4.657, 0.000], [0.000, 0.000, 12.137]], "species": ["Sc", "Sc", "Sc", "Sc", "Tl", "Tl", "Tl", "Tl", "C", "C", "C", "C", "C", "C", "C", "C"], "frac_coords": [[0.000, 0.000, 0.000], [0.000, 0.500, 0.250], [0.500, 0.000, 0.750], [0.500, 0.500, 0.500], [0.000, 0.000, 0.500], [0.000, 0.500, 0.750], [0.500, 0.000, 0.250], [0.500, 0.500, 0.000], [0.237, 0.250, 0.125], [0.250, 0.737, 0.375], [0.250, 0.763, 0.875], [0.263, 0.250, 0.625], [0.737, 0.750, 0.625], [0.750, 0.237, 0.875], [0.750, 0.263, 0.375], [0.763, 0.750, 0.125]]}

***

{"formula": "Y4Sc", "functional": "PBEsol", "state": "optimized geometry", "ef_ev_per_atom": 0.042, "lattice_angstrom": [[7.702, 0.000, 0.000], [0.000, 7.702, 0.000], [0.000, 0.000, 4.884]], "species": ["Y", "Y", "Y", "Y", "Y", "Y", "Y", "Y", "Sc", "Sc"], "frac_coords": [[0.102, 0.299, 0.000], [0.201, 0.602, 0.500], [0.299, 0.898, 0.000], [0.398, 0.201, 0.500], [0.602, 0.799, 0.500], [0.701, 0.102, 0.000], [0.799, 0.398, 0.500], [0.898, 0.701, 0.000], [0.000, 0.000, 0.500], [0.500, 0.500, 0.000]]}

***

{"formula": "Zr5Ru3", "functional": "PBEsol", "state": "optimized geometry", "ef_ev_per_atom": -0.393, "lattice_angstrom": [[7.791, 0.000, 0.000], [-3.895, 6.747, 0.000], [0.000, 0.000, 5.639]], "species": ["Zr", "Zr", "Zr", "Zr", "Zr", "Zr", "Zr", "Zr", "Zr", "Zr", "Ru", "Ru", "Ru", "Ru", "Ru", "Ru"], "frac_coords": [[0.000, 0.238, 0.250], [0.000, 0.762, 0.750], [0.238, 0.000, 0.250], [0.238, 0.238, 0.750], [0.333, 0.667, 0.000], [0.333, 0.667, 0.500], [0.667, 0.333, 0.000], [0.667, 0.333, 0.500], [0.762, 0.000, 0.750], [0.762, 0.762, 0.250], [0.000, 0.401, 0.750], [0.000, 0.599, 0.250], [0.401, 0.000, 0.750], [0.401, 0.401, 0.250], [0.599, 0.000, 0.250], [0.599, 0.599, 0.750]]}

***

{"formula": "Li2GePd", "functional": "PBEsol", "state": "optimized geometry", "ef_ev_per_atom": -0.564, "lattice_angstrom": [[5.985, 0.000, 0.000], [0.000, 5.985, 0.000], [0.000, 0.000, 5.985]], "species": ["Li", "Li", "Li", "Li", "Li", "Li", "Li", "Li", "Ge", "Ge", "Ge", "Ge", "Pd", "Pd", "Pd", "Pd"], "frac_coords": [[0.000, 0.000, 0.000], [0.000, 0.500, 0.500], [0.250, 0.250, 0.250], [0.250, 0.750, 0.750], [0.500, 0.000, 0.500], [0.500, 0.500, 0.000], [0.750, 0.250, 0.750], [0.750, 0.750, 0.250], [0.000, 0.000, 0.500], [0.000, 0.500, 0.000], [0.500, 0.000, 0.000], [0.500, 0.500, 0.500], [0.250, 0.250, 0.750], [0.250, 0.750, 0.250], [0.750, 0.250, 0.250], [0.750, 0.750, 0.750]]}

***

{"formula": "TiSnS2Cl", "functional": "PBEsol", "state": "optimized geometry", "e_form_raw_kj_per_mol_atoms": 16.2, "lattice_angstrom": [[4.995, 0.000, 0.000], [0.000, 4.995, 0.000], [0.000, 0.000, 4.922]], "species": ["Ti", "Sn", "S", "S", "Cl"], "frac_coords": [[0.000, 0.000, 0.000], [0.500, 0.500, 0.500], [0.000, 0.500, 0.500], [0.500, 0.000, 0.500], [0.500, 0.500, 0.000]]}

***

{"formula": "TcMoPt2", "functional": "PBEsol", "state": "optimized geometry", "polymorph_energy_mev_per_atom": 566.4, "ef_ev_per_atom": 0.290, "lattice_angstrom": [[6.227, 0.000, 0.000], [0.000, 6.227, 0.000], [0.000, 0.000, 6.227]], "species": ["Tc", "Tc", "Tc", "Tc", "Mo", "Mo", "Mo", "Mo", "Pt", "Pt", "Pt", "Pt", "Pt", "Pt", "Pt", "Pt"], "frac_coords": [[0.000, 0.000, 0.000], [0.000, 0.500, 0.500], [0.500, 0.000, 0.500], [0.500, 0.500, 0.000], [0.000, 0.000, 0.500], [0.000, 0.500, 0.000], [0.500, 0.000, 0.000], [0.500, 0.500, 0.500], [0.250, 0.250, 0.250], [0.250, 0.250, 0.750], [0.250, 0.750, 0.250], [0.250, 0.750, 0.750], [0.750, 0.250, 0.250], [0.750, 0.250, 0.750], [0.750, 0.750, 0.250], [0.750, 0.750, 0.750]]}

***

{"formula": "LiCaTc2", "functional": "PBEsol", "state": "optimized geometry", "polymorph_energy_mev_per_atom": 126.8, "ef_ev_per_atom": 0.386, "lattice_angstrom": [[2.836, 0.000, 0.000], [0.000, 4.123, 0.000], [-1.200, 0.000, 6.009]], "species": ["Li", "Ca", "Tc", "Tc"], "frac_coords": [[0.000, 0.000, 0.000], [0.313, 0.500, 0.703], [0.540, 0.000, 0.387], [0.810, 0.500, 0.247]]}

***

{"formula": "Ba4Co", "functional": "PBEsol", "state": "optimized geometry", "ef_ev_per_atom": 0.444, "lattice_angstrom": [[7.503, 0.000, 0.000], [0.000, 7.503, 0.000], [0.000, 0.000, 7.503]], "species": ["Ba", "Ba", "Ba", "Ba", "Ba", "Ba", "Ba", "Ba", "Co", "Co"], "frac_coords": [[0.250, 0.250, 0.250], [0.250, 0.250, 0.750], [0.250, 0.750, 0.250], [0.250, 0.750, 0.750], [0.750, 0.250, 0.250], [0.750, 0.250, 0.750], [0.750, 0.750, 0.250], [0.750, 0.750, 0.750], [0.000, 0.000, 0.000], [0.500, 0.500, 0.500]]}

***

{"formula": "ZrTlCl2", "functional": "PBEsol", "state": "optimized geometry", "polymorph_energy_mev_per_atom": 0.0, "e_form_raw_kj_per_mol_atoms": -93.4, "lattice_angstrom": [[3.149, 0.000, 0.000], [0.000, 3.149, 0.000], [0.000, 0.000, 9.064]], "species": ["Zr", "Tl", "Cl", "Cl"], "frac_coords": [[0.000, 0.000, 0.000], [0.000, 0.000, 0.500], [0.500, 0.500, 0.167], [0.500, 0.500, 0.833]]}

***

Let's list total moment in order: 0.00, 3.13, 0.00, 0.00, 0.00, 0.00, 0.00, 2.13, 0.36, 0.00, 2.06, 0.00 Bohr magnetons per cell.
Let's list D(E_F) in order: 3.544, 2.810, 4.579, 10.579, 15.080, 15.537, 4.479, 2.653, 27.720, 2.793, 21.170, 2.227 states/eV/cell.
Let's list E in order: -5.9284, -5.0158, -3.9282, -5.8756, -6.7366, -9.8887, -4.2720, -4.5040, -8.9503, -6.2722, -2.8228, -4.9020 eV per atom.